The following is a DFT calculation (PBE with a Hubbard U) of a relaxed CaMoAs2O8 crystal.

Unit cell a=5.5074 b=5.5074 c=6.7274 alpha=90.00 beta=90.00 gamma=120.00
Space group P-3m1 (No. 164)
Inequivalent atoms, fractional coordinates:
Ca (0.0000, 0.0000, 0.0000)
Mo (0.0000, 0.0000, 0.5000)
As (0.3333, 0.6667, 0.2170)
O (0.1620, 0.3240, 0.3000)
O (0.3333, 0.6667, 0.9687)

Calculated values
- density of states at the Fermi level (states/eV/cell) = 3.82
- calculated density (g/cm³) = 3.89
- E (eV per atom) = -6.418